[1]
Na2SnF2: PBEsol geometry, meta-GGA SCAN.

a b c (Å): 7.7700 7.7700 7.7700
angles (deg): 150.30 150.30 42.50
Sites, in units of the cell vectors:
Na 0.2500 0.7500 0.5000
Na 0.7500 0.2500 0.5000
Sn 0.0000 0.0000 0.0000
F 0.3039 0.3039 0.0000
F 0.6961 0.6961 0.0000

total magnetic moment: 0.0 μB per cell
density of states at the Fermi level: 0.475 states/eV/atom
total energy: -11.973 eV/atom
raw formation energy: -1.687 eV per atom
space group: No. 139

=====

[2]
NaSn3F: PBEsol geometry, meta-GGA SCAN.

a b c (Å): 5.3043 5.3043 5.3043
angles (deg): 90.00 90.00 90.00
Sites, in units of the cell vectors:
Na 0.0000 0.0000 0.0000
Sn 0.0000 0.0000 0.5000
Sn 0.0000 0.5000 0.0000
Sn 0.5000 0.0000 0.0000
F 0.5000 0.5000 0.5000

total magnetic moment: 0.0 μB per cell
density of states at the Fermi level: 0.682 states/eV/atom
total energy: -22.639 eV/atom
raw formation energy: 0.465 eV per atom
space group: No. 221

=====

[3]
NaSr3F: PBEsol geometry, meta-GGA SCAN.

a b c (Å): 6.4650 6.4650 6.4650
angles (deg): 90.00 90.00 90.00
Sites, in units of the cell vectors:
Na 0.0000 0.0000 0.0000
Sr 0.0000 0.0000 0.5000
Sr 0.0000 0.5000 0.0000
Sr 0.5000 0.0000 0.0000
F 0.5000 0.5000 0.5000

total magnetic moment: 0.0 μB per cell
density of states at the Fermi level: 0.695 states/eV/atom
total energy: -14.932 eV/atom
raw formation energy: -0.016 eV per atom
space group: No. 221

=====

[4]
NaSrTiF6: PBEsol geometry, meta-GGA SCAN.

a b c (Å): 5.4182 9.4502 10.3098
angles (deg): 90.00 90.00 90.00
Sites, in units of the cell vectors:
Na 0.0433 0.1483 0.0834
Na 0.4567 0.8517 0.5834
Na 0.5433 0.3517 0.9166
Na 0.9567 0.6483 0.4166
Sr 0.0093 0.6873 0.8253
Sr 0.4907 0.3127 0.3253
Sr 0.5093 0.8127 0.1747
Sr 0.9907 0.1873 0.6747
Ti 0.0357 0.4979 0.1267
Ti 0.4643 0.5021 0.6267
Ti 0.5357 0.0021 0.8733
Ti 0.9643 0.9979 0.3733
F 0.1468 0.9993 0.5359
F 0.1676 0.8334 0.3196
F 0.2083 0.6472 0.5907
F 0.2132 0.1212 0.2934
F 0.2136 0.5141 0.2922
F 0.2202 0.6614 0.0487
F 0.2798 0.3386 0.5487
F 0.2864 0.4859 0.7922
F 0.2868 0.8788 0.7934
F 0.2917 0.3528 0.0907
F 0.3324 0.1666 0.8196
F 0.3532 0.0007 0.0359
F 0.6468 0.5007 0.4641
F 0.6676 0.6666 0.6804
F 0.7083 0.8528 0.4093
F 0.7132 0.3788 0.7066
F 0.7136 0.9859 0.7078
F 0.7202 0.8386 0.9513
F 0.7798 0.1614 0.4513
F 0.7864 0.0141 0.2078
F 0.7868 0.6212 0.2066
F 0.7917 0.1472 0.9093
F 0.8324 0.3334 0.1804
F 0.8532 0.4993 0.9641

total magnetic moment: 4.0 μB per cell
total energy: -10.742 eV/atom
raw formation energy: -3.658 eV per atom
space group: No. 19

=====

[5]
Na3TaF8: PBEsol geometry, meta-GGA SCAN.

a b c (Å): 6.3652 6.3652 11.1457
angles (deg): 117.84 117.84 49.95
Sites, in units of the cell vectors:
Na 0.0000 0.5000 0.5000
Na 0.1077 0.6221 0.8981
Na 0.3779 0.8923 0.6019
Na 0.5000 0.0000 0.0000
Na 0.6221 0.1077 0.3981
Na 0.8923 0.3779 0.1019
Ta 0.3150 0.6850 0.2500
Ta 0.6850 0.3150 0.7500
F 0.0467 0.2657 0.8906
F 0.0647 0.8107 0.3606
F 0.1893 0.9353 0.1394
F 0.2657 0.0467 0.3906
F 0.3213 0.3445 0.7139
F 0.3445 0.3213 0.2139
F 0.4067 0.4779 0.5826
F 0.4779 0.4067 0.0826
F 0.5221 0.5933 0.9174
F 0.5933 0.5221 0.4174
F 0.6555 0.6787 0.7861
F 0.6787 0.6555 0.2861
F 0.7343 0.9533 0.6094
F 0.8107 0.0647 0.8606
F 0.9353 0.1893 0.6394
F 0.9533 0.7343 0.1094

total magnetic moment: 0.0 μB per cell
density of states at the Fermi level: 0.000 states/eV/atom
total energy: -12.226 eV/atom
raw formation energy: -3.263 eV per atom
space group: No. 15

=====

[6]
NaTaWF2: PBEsol geometry, meta-GGA SCAN.

a b c (Å): 4.1551 4.1551 5.1347
angles (deg): 90.00 90.00 90.00
Sites, in units of the cell vectors:
Na 0.0000 0.0000 0.0000
Ta 0.5000 0.5000 0.5000
W 0.5000 0.5000 0.0000
F 0.0000 0.5000 0.5000
F 0.5000 0.0000 0.5000

total magnetic moment: 2.0 μB per cell
density of states at the Fermi level: 0.413 states/eV/atom
total energy: -29.768 eV/atom
raw formation energy: -0.254 eV per atom
space group: No. 123

=====

[7]
Na2TcF6: PBEsol geometry, meta-GGA SCAN.

a b c (Å): 5.5391 5.5391 4.3084
angles (deg): 90.00 90.00 120.00
Sites, in units of the cell vectors:
Na 0.3333 0.6667 0.3337
Na 0.6667 0.3333 0.6663
Tc 0.0000 0.0000 0.0000
F 0.1698 0.3397 0.7586
F 0.1698 0.8302 0.7586
F 0.3397 0.1698 0.2414
F 0.6603 0.8302 0.7586
F 0.8302 0.1698 0.2414
F 0.8302 0.6603 0.2414

total magnetic moment: 3.0 μB per cell
density of states at the Fermi level: 0.000 states/eV/atom
total energy: -9.856 eV/atom
raw formation energy: -2.663 eV per atom
space group: No. 164

=====

[8]
NaTeF5: PBEsol geometry, meta-GGA SCAN.

a b c (Å): 10.2926 5.8878 7.1290
angles (deg): 90.00 90.00 90.00
Sites, in units of the cell vectors:
Na 0.0021 0.2500 0.1817
Na 0.4979 0.7500 0.6817
Na 0.5021 0.2500 0.3183
Na 0.9979 0.7500 0.8183
Te 0.2354 0.2500 0.6481
Te 0.2646 0.7500 0.1481
Te 0.7354 0.2500 0.8519
Te 0.7646 0.7500 0.3519
F 0.0998 0.0159 0.6426
F 0.0998 0.4841 0.6426
F 0.1353 0.5228 0.0485
F 0.1353 0.9772 0.0485
F 0.1941 0.2500 0.3861
F 0.3059 0.7500 0.8861
F 0.3647 0.0228 0.5485
F 0.3647 0.4772 0.5485
F 0.4002 0.5159 0.1426
F 0.4002 0.9841 0.1426
F 0.5998 0.0159 0.8574
F 0.5998 0.4841 0.8574
F 0.6353 0.5228 0.4515
F 0.6353 0.9772 0.4515
F 0.6941 0.2500 0.1139
F 0.8059 0.7500 0.6139
F 0.8647 0.0228 0.9515
F 0.8647 0.4772 0.9515
F 0.9002 0.5159 0.3574
F 0.9002 0.9841 0.3574

total magnetic moment: 0.0 μB per cell
density of states at the Fermi level: 0.000 states/eV/atom
total energy: -10.916 eV/atom
raw formation energy: -2.464 eV per atom
space group: No. 62

=====

[9]
Na3TiF8: PBEsol geometry, meta-GGA SCAN.

a b c (Å): 7.7661 7.7661 6.5402
angles (deg): 90.00 90.00 124.87
Sites, in units of the cell vectors:
Na 0.1557 0.3435 0.7500
Na 0.1741 0.8259 0.7500
Na 0.3435 0.1557 0.2500
Na 0.6565 0.8443 0.7500
Na 0.8259 0.1741 0.2500
Na 0.8443 0.6565 0.2500
Ti 0.3456 0.6544 0.2500
Ti 0.6544 0.3456 0.7500
F 0.0619 0.5577 0.2500
F 0.0701 0.9299 0.0294
F 0.0701 0.9299 0.4706
F 0.2556 0.3762 0.2500
F 0.3450 0.6550 0.5389
F 0.3450 0.6550 0.9611
F 0.3762 0.2556 0.7500
F 0.4423 0.9381 0.2500
F 0.5577 0.0619 0.7500
F 0.6238 0.7444 0.2500
F 0.6550 0.3450 0.0389
F 0.6550 0.3450 0.4611
F 0.7444 0.6238 0.7500
F 0.9299 0.0701 0.5294
F 0.9299 0.0701 0.9706
F 0.9381 0.4423 0.7500

total magnetic moment: 2.0 μB per cell
density of states at the Fermi level: 0.000 states/eV/atom
total energy: -7.763 eV/atom
raw formation energy: -3.013 eV per atom
space group: No. 63

=====

[10]
Na2TiF6: PBEsol geometry, meta-GGA SCAN.

a b c (Å): 9.1904 9.1904 5.1256
angles (deg): 90.00 90.00 120.00
Sites, in units of the cell vectors:
Na 0.0000 0.2895 0.0000
Na 0.0000 0.6275 0.5000
Na 0.2895 0.0000 0.0000
Na 0.3725 0.3725 0.5000
Na 0.6275 0.0000 0.5000
Na 0.7105 0.7105 0.0000
Ti 0.0000 0.0000 0.5000
Ti 0.3333 0.6667 0.9971
Ti 0.6667 0.3333 0.0029
F 0.0835 0.8904 0.7086
F 0.1096 0.1931 0.7086
F 0.1411 0.5491 0.7879
F 0.1931 0.1096 0.2914
F 0.2237 0.7504 0.2060
F 0.2496 0.4733 0.2060
F 0.4081 0.8589 0.7879
F 0.4509 0.5919 0.7879
F 0.4733 0.2496 0.7940
F 0.5267 0.7763 0.2060
F 0.5491 0.1411 0.2121
F 0.5919 0.4509 0.2121
F 0.7504 0.2237 0.7940
F 0.7763 0.5267 0.7940
F 0.8069 0.9165 0.7086
F 0.8589 0.4081 0.2121
F 0.8904 0.0835 0.2914
F 0.9165 0.8069 0.2914

total magnetic moment: 0.5 μB per cell
density of states at the Fermi level: 0.000 states/eV/atom
total energy: -8.474 eV/atom
raw formation energy: -3.396 eV per atom
space group: No. 150

=====

[11]
Na3TiF6: PBEsol geometry, meta-GGA SCAN.

a b c (Å): 5.5246 5.7584 9.6505
angles (deg): 90.00 124.14 90.00
Sites, in units of the cell vectors:
Na 0.0000 0.0000 0.0000
Na 0.0000 0.5000 0.5000
Na 0.2244 0.0592 0.7423
Na 0.2244 0.4408 0.2423
Na 0.7756 0.5592 0.7577
Na 0.7756 0.9408 0.2577
Ti 0.5000 0.0000 0.5000
Ti 0.5000 0.5000 0.0000
F 0.1538 0.1787 0.4463
F 0.1538 0.3213 0.9463
F 0.2534 0.7188 0.4234
F 0.2534 0.7812 0.9234
F 0.3943 0.0621 0.2707
F 0.3943 0.4379 0.7707
F 0.6057 0.5621 0.2293
F 0.6057 0.9379 0.7293
F 0.7466 0.2188 0.0766
F 0.7466 0.2812 0.5766
F 0.8462 0.6787 0.0537
F 0.8462 0.8213 0.5537

total magnetic moment: 2.0 μB per cell
relative energy among the computed polymorphs: 0.00 eV/f.u.
total energy: -8.228 eV/atom
raw formation energy: -3.237 eV per atom
space group: No. 14

=====

[12]
Na2TiF6: PBEsol geometry, meta-GGA SCAN.

a b c (Å): 9.5583 9.5583 4.5881
angles (deg): 90.00 90.00 120.00
Sites, in units of the cell vectors:
Na 0.0000 0.3423 0.0000
Na 0.0000 0.6577 0.0000
Na 0.3423 0.0000 0.0000
Na 0.3423 0.3423 0.0000
Na 0.6577 0.0000 0.0000
Na 0.6577 0.6577 0.0000
Ti 0.0000 0.0000 0.0000
Ti 0.3333 0.6667 0.4974
Ti 0.6667 0.3333 0.5026
F 0.0957 0.1914 0.7797
F 0.0957 0.9043 0.7797
F 0.1456 0.5728 0.7305
F 0.1914 0.0957 0.2203
F 0.2398 0.4797 0.2652
F 0.2398 0.7602 0.2652
F 0.4272 0.5728 0.7305
F 0.4272 0.8544 0.7305
F 0.4797 0.2398 0.7348
F 0.5203 0.7602 0.2652
F 0.5728 0.1456 0.2695
F 0.5728 0.4272 0.2695
F 0.7602 0.2398 0.7348
F 0.7602 0.5203 0.7348
F 0.8086 0.9043 0.7797
F 0.8544 0.4272 0.2695
F 0.9043 0.0957 0.2203
F 0.9043 0.8086 0.2203

total magnetic moment: 0.5 μB per cell
density of states at the Fermi level: 0.000 states/eV/atom
total energy: -8.438 eV/atom
raw formation energy: -3.360 eV per atom
space group: No. 164

=====

- total energy of number 8 (NaTeF5)?
  -10.916 eV/atom